1.
Below is crystalline Ba4SrSn5O15 at its relaxed geometry, with properties calculated at the GGA-PBEsol level.

Cell lengths 12.354, 12.354, 12.354 Å; angles 27.29, 27.29, 27.29 degrees
Sites, in units of the cell vectors:
Ba 0.101 0.101 0.101
Ba 0.300 0.300 0.300
Ba 0.700 0.700 0.700
Ba 0.899 0.899 0.899
Sr 0.500 0.500 0.500
Sn 0.000 0.000 0.000
Sn 0.200 0.200 0.200
Sn 0.400 0.400 0.400
Sn 0.600 0.600 0.600
Sn 0.800 0.800 0.800
O 0.000 0.000 0.500
O 0.000 0.500 0.000
O 0.105 0.599 0.599
O 0.200 0.200 0.700
O 0.200 0.700 0.200
O 0.300 0.800 0.800
O 0.401 0.401 0.895
O 0.401 0.895 0.401
O 0.500 0.000 0.000
O 0.599 0.105 0.599
O 0.599 0.599 0.105
O 0.700 0.200 0.200
O 0.800 0.300 0.800
O 0.800 0.800 0.300
O 0.895 0.401 0.401

Results
Its space group is R-3m, No. 166. The value obtained for the total energy is -166.4 eV per cell. The calculation puts the energy relative to the elements, uncorrected at -55.89 eV/f.u.

---

2.
Below is crystalline BaSr2Sn3O9 at its relaxed geometry, with properties calculated at the GGA-PBEsol level.

Cell lengths 5.768, 5.768, 14.088 Å; angles 90.21, 90.21, 60.43 degrees
Sites, in units of the cell vectors:
Ba 0.167 0.167 0.333
Ba 0.833 0.833 0.667
Sr 0.155 0.180 0.836
Sr 0.490 0.510 0.500
Sr 0.502 0.498 0.000
Sr 0.820 0.845 0.164
Sn 0.162 0.171 0.082
Sn 0.165 0.168 0.584
Sn 0.496 0.502 0.248
Sn 0.498 0.504 0.752
Sn 0.829 0.838 0.918
Sn 0.832 0.835 0.416
O 0.030 0.517 0.508
O 0.071 0.929 0.000
O 0.149 0.631 0.828
O 0.194 0.677 0.346
O 0.255 0.412 0.165
O 0.323 0.806 0.654
O 0.369 0.851 0.172
O 0.378 0.288 0.669
O 0.483 0.970 0.492
O 0.519 0.044 0.012
O 0.588 0.745 0.835
O 0.657 0.142 0.319
O 0.699 0.194 0.847
O 0.712 0.622 0.331
O 0.806 0.301 0.153
O 0.858 0.343 0.681
O 0.929 0.071 0.500
O 0.956 0.481 0.988

Results
Its density of states at the Fermi level is 0.00 states/eV/cell. Its space group is C2, No. 5. The value obtained for the total energy is -199.4 eV per cell. The calculation puts the energy relative to the elements, uncorrected at -33.83 eV/f.u.

---

3.
Below is crystalline BaSr3Sn4O12 at its relaxed geometry, with properties calculated at the GGA-PBEsol level.

Cell lengths 5.764, 8.132, 5.767 Å; angles 90.00, 90.16, 90.00 degrees
Sites, in units of the cell vectors:
Ba 0.000 0.000 0.000
Sr 0.466 0.500 0.502
Sr 0.514 0.000 0.512
Sr 0.958 0.500 0.010
Sn 0.485 0.252 0.004
Sn 0.485 0.748 0.004
Sn 0.988 0.253 0.504
Sn 0.988 0.747 0.504
O 0.012 0.500 0.575
O 0.208 0.288 0.225
O 0.208 0.712 0.225
O 0.271 0.214 0.720
O 0.271 0.786 0.720
O 0.490 0.000 0.073
O 0.493 0.500 0.937
O 0.712 0.290 0.279
O 0.712 0.710 0.279
O 0.758 0.228 0.776
O 0.758 0.772 0.776
O 0.965 0.000 0.458

Results
Its density of states at the Fermi level is 0.00 states/eV/cell. Its space group is Pm, No. 6. The value obtained for the total energy is -132.9 eV per cell. The calculation puts the energy relative to the elements, uncorrected at -45.21 eV/f.u.

---

4.
Below is crystalline Ba3SrSn4O12 at its relaxed geometry, with properties calculated at the GGA-PBEsol level.

Cell lengths 4.116, 5.824, 11.639 Å; angles 90.00, 90.00, 90.00 degrees
Sites, in units of the cell vectors:
Ba 0.000 0.000 0.000
Ba 0.000 0.500 0.252
Ba 0.000 0.500 0.748
Sr 0.000 0.000 0.500
Sn 0.500 0.000 0.252
Sn 0.500 0.000 0.748
Sn 0.500 0.500 0.000
Sn 0.500 0.500 0.500
O 0.000 0.000 0.256
O 0.000 0.000 0.744
O 0.000 0.500 0.000
O 0.000 0.500 0.500
O 0.500 0.246 0.378
O 0.500 0.246 0.622
O 0.500 0.250 0.126
O 0.500 0.250 0.874
O 0.500 0.750 0.126
O 0.500 0.750 0.874
O 0.500 0.754 0.378
O 0.500 0.754 0.622

Results
Its space group is Pmmm, No. 47. The value obtained for the total energy is -133.0 eV per cell. The calculation puts the energy relative to the elements, uncorrected at -44.72 eV/f.u.

---

5.
Below is crystalline Ba3Sr4O7 at its relaxed geometry, with properties calculated at the GGA-PBEsol level.

Cell lengths 13.589, 13.589, 13.589 Å; angles 164.12, 157.45, 27.70 degrees
Sites, in units of the cell vectors:
Ba 0.000 0.000 0.000
Ba 0.145 0.145 0.000
Ba 0.855 0.855 0.000
Sr 0.285 0.285 0.000
Sr 0.428 0.428 0.000
Sr 0.572 0.572 0.000
Sr 0.715 0.715 0.000
O 0.074 0.574 0.500
O 0.223 0.723 0.500
O 0.360 0.860 0.500
O 0.500 0.000 0.500
O 0.640 0.140 0.500
O 0.777 0.277 0.500
O 0.926 0.426 0.500

Results
Its density of states at the Fermi level is 0.00 states/eV/cell. Its space group is Immm, No. 71. The value obtained for the total energy is -87.2 eV per cell. The calculation puts the energy relative to the elements, uncorrected at -36.65 eV/f.u.

---

6.
Below is crystalline Ba3SrTa2O9 at its relaxed geometry, with properties calculated at the GGA-PBEsol level.

Cell lengths 5.997, 5.997, 15.879 Å; angles 90.00, 90.00, 120.00 degrees
Sites, in units of the cell vectors:
Ba 0.000 0.000 0.250
Ba 0.000 0.000 0.750
Ba 0.333 0.667 0.125
Ba 0.333 0.667 0.375
Ba 0.667 0.333 0.625
Ba 0.667 0.333 0.875
Sr 0.000 0.000 0.000
Sr 0.000 0.000 0.500
Ta 0.333 0.667 0.657
Ta 0.333 0.667 0.843
Ta 0.667 0.333 0.157
Ta 0.667 0.333 0.343
O 0.034 0.517 0.750
O 0.172 0.344 0.602
O 0.172 0.344 0.898
O 0.172 0.828 0.602
O 0.172 0.828 0.898
O 0.344 0.172 0.102
O 0.344 0.172 0.398
O 0.483 0.517 0.750
O 0.483 0.966 0.750
O 0.517 0.034 0.250
O 0.517 0.483 0.250
O 0.656 0.828 0.602
O 0.656 0.828 0.898
O 0.828 0.172 0.102
O 0.828 0.172 0.398
O 0.828 0.656 0.102
O 0.828 0.656 0.398
O 0.966 0.483 0.250

Results
The distance to the lowest polymorph of the same formula comes out at 18.3 kJ/mol of formula units. Its density of states at the Fermi level is 0.00 states/eV/cell. Its space group is P6_3/mmc, No. 194. The value obtained for the total energy is -251.0 eV per cell. The calculation puts the energy relative to the elements, uncorrected at -44.88 eV/f.u.

---

7.
Below is crystalline Ba3SrTa2O9 at its relaxed geometry, with properties calculated at the GGA-PBEsol level.

Cell lengths 5.942, 5.942, 7.571 Å; angles 90.00, 90.00, 120.00 degrees
Sites, in units of the cell vectors:
Ba 0.000 0.000 0.000
Ba 0.333 0.667 0.691
Ba 0.667 0.333 0.309
Sr 0.000 0.000 0.500
Ta 0.333 0.667 0.164
Ta 0.667 0.333 0.836
O 0.000 0.500 0.000
O 0.177 0.354 0.300
O 0.177 0.823 0.300
O 0.354 0.177 0.700
O 0.500 0.000 0.000
O 0.500 0.500 0.000
O 0.646 0.823 0.300
O 0.823 0.177 0.700
O 0.823 0.646 0.700

Results
The distance to the lowest polymorph of the same formula comes out at 0.0 kJ/mol of formula units. Its density of states at the Fermi level is 0.00 states/eV/cell. Its space group is P-3m1, No. 164. The value obtained for the total energy is -125.7 eV per cell. The calculation puts the energy relative to the elements, uncorrected at -45.06 eV/f.u.

---

8.
Below is crystalline BaSrTi2O6 at its relaxed geometry, with properties calculated at the GGA-PBEsol level.

Cell lengths 3.943, 3.943, 7.880 Å; angles 90.00, 90.00, 90.00 degrees
Sites, in units of the cell vectors:
Ba 0.000 0.000 0.000
Sr 0.000 0.000 0.500
Ti 0.500 0.500 0.255
Ti 0.500 0.500 0.745
O 0.000 0.500 0.258
O 0.000 0.500 0.742
O 0.500 0.000 0.258
O 0.500 0.000 0.742
O 0.500 0.500 0.000
O 0.500 0.500 0.500

Results
Its density of states at the Fermi level is 0.00 states/eV/cell. Its space group is P4/mmm, No. 123. The value obtained for the total energy is -83.8 eV per cell. The calculation puts the energy relative to the elements, uncorrected at -31.65 eV/f.u.